Crystalline Sr2CaZnRh at its relaxed geometry, computed with GGA-PBE.

a = 5.7992 Å, b = 5.7992 Å, c = 5.4303 Å
α = 90.00°, β = 90.00°, γ = 90.00°
With the nearest neighbours (Å) after each atom.
Atoms (fractional coordinates):
Ca1 0.0000 0.0000 0.5000  2 Rh 2.72
Sr1 0.0000 0.5000 0.0000  2 Rh 2.90
Sr2 0.5000 0.0000 0.0000  2 Rh 2.90
Rh1 0.0000 0.0000 0.0000  2 Ca 2.72, 4 Sr 2.90
Zn1 0.5000 0.5000 0.5000  8 Sr 3.97, 4 Ca 4.10

The calculated total energy is -2.89 eV per atom. Its space group is P4/mmm. The value obtained for the energy above the most stable polymorph in this dataset is 0.00 eV per formula unit.